A relaxed structure of Cs2RbTe2. Source: the Alexandria database, functional PBE.

Output
Raw formation energy: -793 meV/atom
E_tot: -2.584 eV per atom
Crystal system: tetragonal
Polymorph energy (0 for the lowest one): 0.147 eV/atom
Total magnetic moment: 0.000 μB per atom

abc: 10.8859 10.8859 4.0822
angles: 90.00 90.00 90.00
Space group P4/mbm (No. 127)
Symmetry-distinct sites (fractional):
Cs 0.1213 0.3787 0.0000 (multiplicity 4)
Rb 0.0000 0.0000 0.0000 (multiplicity 2)
Te 0.1772 0.6772 0.5000 (multiplicity 4)

***

A relaxed structure of Cs3RbTe4. Source: the Alexandria database, functional PBE.

Output
Raw formation energy: -757 meV/atom
E_tot: -2.769 eV per atom
Crystal system: monoclinic
Polymorph energy (0 for the lowest one): 0.057 eV/atom
Total magnetic moment: 0.000 μB per atom

abc: 24.3887 6.0773 8.6380
angles: 90.00 104.41 90.00
Space group C2/m (No. 12)
Symmetry-distinct sites (fractional):
Cs 0.0000 0.0000 0.0000 (multiplicity 2)
Cs 0.1879 0.0000 0.3235 (multiplicity 4)
Rb 0.0000 0.5000 0.5000 (multiplicity 2)
Te 0.0866 0.5000 0.2087 (multiplicity 4)
Te 0.1465 0.5000 0.5329 (multiplicity 4)

***

A relaxed structure of CsRb2Te2. Source: the Alexandria database, functional PBE.

Output
Raw formation energy: -693 meV/atom
E_tot: -2.507 eV per atom
Crystal system: tetragonal
Polymorph energy (0 for the lowest one): 0.216 eV/atom
Total magnetic moment: 0.200 μB per atom

abc: 6.6708 6.6708 12.0637
angles: 90.00 90.00 90.00
Space group I4/mmm (No. 139)
Symmetry-distinct sites (fractional):
Cs 0.0000 0.0000 0.0000 (multiplicity 2)
Rb 0.0000 0.0000 0.3451 (multiplicity 4)
Te 0.0000 0.5000 0.2500 (multiplicity 4)

***

A relaxed structure of Cs3RbTe6. Source: the Alexandria database, functional PBE.

Output
Raw formation energy: -675 meV/atom
E_tot: -2.913 eV per atom
Crystal system: trigonal
Total magnetic moment: 0.000 μB per atom

abc: 15.8707 15.8707 13.8773
angles: 90.00 90.00 120.00
Space group R-3c (No. 167, hexagonal axes)
Symmetry-distinct sites (fractional):
Cs 0.0000 0.4292 0.2500 (multiplicity 18)
Rb 0.0000 0.0000 0.0000 (multiplicity 6)
Te 0.0776 0.2406 0.3253 (multiplicity 36)

***

A relaxed structure of Cs4Rb2Te. Source: the Alexandria database, functional PBE.

Output
Raw formation energy: -364 meV/atom
E_tot: -1.577 eV per atom
Crystal system: tetragonal
Polymorph energy (0 for the lowest one): 0.016 eV/atom
Total magnetic moment: 0.000 μB per atom

abc: 7.4352 7.4352 25.4781
angles: 90.00 90.00 90.00
Space group I4/mmm (No. 139)
Symmetry-distinct sites (fractional):
Cs 0.0000 0.0000 0.1435 (multiplicity 4)
Cs 0.0000 0.5000 0.0000 (multiplicity 4)
Rb 0.0000 0.0000 0.3326 (multiplicity 4)
Te 0.0000 0.0000 0.0000 (multiplicity 2)

***

A relaxed structure of Cs3RbTe. Source: the Alexandria database, functional PBE.

Output
Raw formation energy: -541 meV/atom
E_tot: -1.875 eV per atom
Crystal system: cubic
Polymorph energy (0 for the lowest one): 0.000 eV/atom
Total magnetic moment: 0.000 μB per atom

abc: 7.5408 7.5408 7.5408
angles: 90.00 90.00 90.00
Space group Pm-3m (No. 221)
Symmetry-distinct sites (fractional):
Cs 0.0000 0.0000 0.5000 (multiplicity 3)
Rb 0.5000 0.5000 0.5000 (multiplicity 1)
Te 0.0000 0.0000 0.0000 (multiplicity 1)

***

A relaxed structure of Cs2Rb2Te. Source: the Alexandria database, functional PBE.

Output
Raw formation energy: -405 meV/atom
E_tot: -1.762 eV per atom
Crystal system: tetragonal
Polymorph energy (0 for the lowest one): 0.000 eV/atom
Total magnetic moment: 0.000 μB per atom

abc: 9.6682 9.6682 7.6663
angles: 90.00 90.00 90.00
Space group P4/mbm (No. 127)
Symmetry-distinct sites (fractional):
Cs 0.1884 0.3116 0.0000 (multiplicity 4)
Rb 0.1653 0.6653 0.5000 (multiplicity 4)
Te 0.0000 0.0000 0.5000 (multiplicity 2)

***

A relaxed structure of Cs2Rb3Te6. Source: the Alexandria database, functional PBE.

Output
Raw formation energy: -627 meV/atom
E_tot: -2.759 eV per atom
Crystal system: orthorhombic
Total magnetic moment: 0.000 μB per atom

abc: 11.7119 16.7477 5.9375
angles: 90.00 90.00 90.00
Space group Cmmm (No. 65)
Symmetry-distinct sites (fractional):
Cs 0.0000 0.2091 0.0000 (multiplicity 4)
Rb 0.0000 0.5000 0.5000 (multiplicity 2)
Rb 0.2225 0.5000 0.0000 (multiplicity 4)
Te 0.1444 0.0000 0.5000 (multiplicity 4)
Te 0.2345 0.3448 0.5000 (multiplicity 8)

***

A relaxed structure of Cs2Rb2Te. Source: the Alexandria database, functional PBE.

Output
Raw formation energy: -398 meV/atom
E_tot: -1.755 eV per atom
Crystal system: tetragonal
Polymorph energy (0 for the lowest one): 0.007 eV/atom
Total magnetic moment: 0.000 μB per atom

abc: 9.7677 9.7677 7.9500
angles: 90.00 90.00 90.00
Space group P4/mbm (No. 127)
Symmetry-distinct sites (fractional):
Cs 0.1594 0.3406 0.0000 (multiplicity 4)
Rb 0.1803 0.6803 0.5000 (multiplicity 4)
Te 0.0000 0.0000 0.0000 (multiplicity 2)

***

A relaxed structure of Cs3Rb2Te6. Source: the Alexandria database, functional PBE.

Output
Raw formation energy: -592 meV/atom
E_tot: -2.714 eV per atom
Crystal system: orthorhombic
Total magnetic moment: 0.000 μB per atom

abc: 12.1594 16.7228 5.9685
angles: 90.00 90.00 90.00
Space group Cmmm (No. 65)
Symmetry-distinct sites (fractional):
Cs 0.0000 0.0000 0.0000 (multiplicity 2)
Cs 0.2104 0.0000 0.5000 (multiplicity 4)
Rb 0.0000 0.3221 0.5000 (multiplicity 4)
Te 0.1386 0.5000 0.0000 (multiplicity 4)
Te 0.2446 0.1559 0.0000 (multiplicity 8)

***

A relaxed structure of Cs3RbTe4. Source: the Alexandria database, functional PBE.

Output
Raw formation energy: -814 meV/atom
E_tot: -2.826 eV per atom
Crystal system: orthorhombic
Polymorph energy (0 for the lowest one): 0.000 eV/atom
Total magnetic moment: 0.000 μB per atom

abc: 5.6455 7.3175 21.5093
angles: 90.00 90.00 90.00
Space group Immm (No. 71)
Symmetry-distinct sites (fractional):
Cs 0.0000 0.0000 0.0000 (multiplicity 2)
Cs 0.0000 0.5000 0.2046 (multiplicity 4)
Rb 0.0000 0.0000 0.5000 (multiplicity 2)
Te 0.0000 0.3092 0.3735 (multiplicity 8)

***

A relaxed structure of CsRbTe6. Source: the Alexandria database, functional PBE.

Output
Raw formation energy: -371 meV/atom
E_tot: -2.955 eV per atom
Crystal system: monoclinic
Total magnetic moment: 0.000 μB per atom

abc: 13.2570 6.3794 9.2703
angles: 90.00 107.65 90.00
Space group C2/m (No. 12)
Symmetry-distinct sites (fractional):
Cs 0.0000 0.0000 0.0000 (multiplicity 2)
Rb 0.0000 0.5000 0.5000 (multiplicity 2)
Te 0.2167 0.2475 0.8260 (multiplicity 8)
Te 0.2276 0.0000 0.5563 (multiplicity 4)